Entry 1:
Here is an optimized crystal structure of Cs2NaH2 from Alexandria. Energies are from GGA-PBE.

Unit cell a=8.8686 b=8.8686 c=4.0811 alpha=90.00 beta=90.00 gamma=90.00
Last column: nearest neighbours and their distance in Å.
Space group P4/mbm (No. 127)
Unique sites:
Cs (0.1486, 0.3514, 0.0000) (multiplicity 4)  6 H 3.19-3.38
Na (0.0000, 0.0000, 0.5000) (multiplicity 2)  4 H 3.35
H (0.1554, 0.6554, 0.5000) (multiplicity 4)  6 Cs 3.19-3.38, 2 Na 3.35

Values from the calculation:
Spin magnetization ... 0.00 μB/f.u.
Final energy ... -19.10 eV per cell

***

Entry 2:
Here is an optimized crystal structure of CsNaH2 from Alexandria. Energies are from GGA-PBE.

Unit cell a=7.1095 b=7.1095 c=7.1095 alpha=90.00 beta=90.00 gamma=90.00
Last column: nearest neighbours and their distance in Å.
Space group Fm-3m (No. 225)
Unique sites:
Cs (0.0000, 0.0000, 0.0000) (multiplicity 4)  8 H 3.08
Na (0.0000, 0.0000, 0.5000) (multiplicity 4)  8 H 3.08
H (0.2500, 0.2500, 0.2500) (multiplicity 8)  4 Na 3.08, 4 Cs 3.08

Values from the calculation:
Spin magnetization ... 0.00 μB/f.u.
Final energy ... -34.12 eV per cell

***

Entry 3:
Here is an optimized crystal structure of CsNaH3 from Alexandria. Energies are from GGA-PBE.

Unit cell a=5.5060 b=3.6144 c=9.3359 alpha=90.00 beta=90.22 gamma=90.00
Last column: nearest neighbours and their distance in Å.
Space group P2/m (No. 10)
Unique sites:
Cs (0.2498, 0.0000, 0.1418) (multiplicity 2)  5 H 2.79-3.12
Na (0.2540, 0.5000, 0.6110) (multiplicity 2)  2 H 2.12-2.16
H (0.2495, 0.5000, 0.8421) (multiplicity 2)  2 H 1.84
H (0.2498, 0.0000, 0.8071) (multiplicity 2)  2 H 1.84
H (0.2537, 0.5000, 0.3844) (multiplicity 2)  1 Na 2.12

Values from the calculation:
Spin magnetization ... 0.13 μB/f.u.
Final energy ... -22.42 eV per cell

***

> Which of these has the lowest final energy?

CsNaH2